1.
# YBiSeBr2 | Alexandria via LeMat-Bulk | PBE | relaxed
data_YBiSeBr2
_cell_length_a 5.640
_cell_length_b 5.640
_cell_length_c 5.742
_cell_angle_alpha 90.00
_cell_angle_beta 90.00
_cell_angle_gamma 90.00
_space_group_name_H-M_alt 'P 4/m m m'
_space_group_IT_number 123
_space_group_name_Hall '-P 4 2'
loop_
_atom_site_label
_atom_site_fract_x
_atom_site_fract_y
_atom_site_fract_z
Y1 0.000 0.000 0.000
Bi1 0.500 0.500 0.500
Se1 0.500 0.500 0.000
Br1 0.000 0.500 0.500
# Energy above the most stable polymorph in this dataset in eV/atom: 0.703
# Volume in A^3/atom: 36.53
# Uncorrected formation energy in meV/atom: -88
# N(E_F) in states/eV per cell: 5.00

2.
# Fe2CoW | Alexandria via LeMat-Bulk | PBE | relaxed
data_Fe2CoW
_cell_length_a 2.890
_cell_length_b 2.890
_cell_length_c 6.029
_cell_angle_alpha 90.00
_cell_angle_beta 90.00
_cell_angle_gamma 90.00
_space_group_name_H-M_alt 'P 4/m m m'
_space_group_IT_number 123
_space_group_name_Hall '-P 4 2'
loop_
_atom_site_label
_atom_site_fract_x
_atom_site_fract_y
_atom_site_fract_z
Fe1 0.000 0.000 0.228
Co1 0.500 0.500 0.000
W1 0.500 0.500 0.500
# Energy above the most stable polymorph in this dataset in eV/atom: 0.071
# Volume in A^3/atom: 12.59
# N(E_F) in states/eV per cell: 3.08
# Energy of formation from the pure elements in meV per atom: 93

3.
# LaTbEr3Sc | Alexandria via LeMat-Bulk | PBE | relaxed
data_LaTbEr3Sc
_cell_length_a 4.973
_cell_length_b 14.923
_cell_length_c 9.974
_cell_angle_alpha 90.00
_cell_angle_beta 90.00
_cell_angle_gamma 90.00
_space_group_name_H-M_alt 'C m c m'
_space_group_IT_number 63
_space_group_name_Hall '-C 2c 2'
loop_
_atom_site_label
_atom_site_fract_x
_atom_site_fract_y
_atom_site_fract_z
La1 0.000 0.003 0.250
Tb1 0.000 0.500 0.000
Er1 0.000 0.169 0.501
Er2 0.000 0.329 0.250
Sc1 0.000 0.330 0.750
# Volume in A^3/atom: 30.84
# N(E_F) in states/eV per cell: 39.00
# Energy of formation from the pure elements in meV per atom: 50

4.
# ReCl2 | Alexandria via LeMat-Bulk | PBE | relaxed
data_ReCl2
_cell_length_a 4.3122
_cell_length_b 4.3122
_cell_length_c 8.7308
_cell_angle_alpha 90.00
_cell_angle_beta 90.00
_cell_angle_gamma 120.00
_space_group_name_H-M_alt 'P 63/m m c'
_space_group_IT_number 194
_space_group_name_Hall '-P 6c 2c'
loop_
_atom_site_label
_atom_site_fract_x
_atom_site_fract_y
_atom_site_fract_z
Re1 0.3333 0.6667 0.2500
Cl1 0.0000 0.0000 0.0000
Cl2 0.3333 0.6667 0.7500
# Energy above the most stable polymorph in this dataset in eV/atom: 1.272
# Volume in A^3/atom: 23.43
# Uncorrected formation energy in meV/atom: 1019
# N(E_F) in states/eV per cell: 1.34

5.
# Hf2ReSnF | Alexandria via LeMat-Bulk | PBE | relaxed
data_Hf2ReSnF
_cell_length_a 5.346
_cell_length_b 5.346
_cell_length_c 4.827
_cell_angle_alpha 90.00
_cell_angle_beta 90.00
_cell_angle_gamma 90.00
_space_group_name_H-M_alt 'P 4/m m m'
_space_group_IT_number 123
_space_group_name_Hall '-P 4 2'
loop_
_atom_site_label
_atom_site_fract_x
_atom_site_fract_y
_atom_site_fract_z
Hf1 0.000 0.500 0.000
Re1 0.000 0.000 0.500
Sn1 0.000 0.000 0.000
F1 0.500 0.500 0.500
# Energy above the most stable polymorph in this dataset in eV/atom: 0.674
# Volume in A^3/atom: 27.59
# Uncorrected formation energy in meV/atom: 1566
# N(E_F) in states/eV per cell: 6.93

6.
# LaTa2Pt | Alexandria via LeMat-Bulk | PBE | relaxed
data_LaTa2Pt
_cell_length_a 3.117
_cell_length_b 5.159
_cell_length_c 5.227
_cell_angle_alpha 90.00
_cell_angle_beta 98.78
_cell_angle_gamma 90.00
_space_group_name_H-M_alt 'P 1 2/m 1'
_space_group_IT_number 10
_space_group_name_Hall '-P 2y'
loop_
_atom_site_label
_atom_site_fract_x
_atom_site_fract_y
_atom_site_fract_z
La1 0.000 0.000 0.000
Ta1 0.294 0.500 0.735
Pt1 0.500 0.000 0.500
# Energy above the most stable polymorph in this dataset in eV/atom: 0.316
# Volume in A^3/atom: 20.77
# N(E_F) in states/eV per cell: 3.85
# Energy of formation from the pure elements in meV per atom: 153

- What is the volume in the second record?
  12.59 A^3/atom

- Which value of N(E_F) does entry 2 give?
  3.08 states/eV per cell